[1]
Tb2Sn2S2O5 | PBE-GGA | optimized geometry

a = 3.890 Å, b = 3.890 Å, c = 23.788 Å
α = 90.00°, β = 90.00°, γ = 90.00°
Space group I4/mmm (No. 139)
Unique sites:
Tb (0.000, 0.000, 0.173) [4 per cell]
Sn (0.000, 0.000, 0.419) [4 per cell]
S (0.000, 0.000, 0.293) [4 per cell]
O (0.000, 0.000, 0.500) [2 per cell]
O (0.000, 0.500, 0.109) [8 per cell]

Values from the calculation:
For the size of the total moment, the calculation gives 0.0 μB/cell. The calculated total energy is -6.64 eV/atom. As for the crystal system: tetragonal.

[2]
TbGeNO | PBE-GGA | optimized geometry

a = 3.279 Å, b = 5.478 Å, c = 6.102 Å
α = 90.00°, β = 90.00°, γ = 90.00°
Space group Pmc2_1 (No. 26)
Unique sites:
Tb (0.000, 0.133, 0.000) [2 per cell]
Ge (0.500, 0.391, 0.506) [2 per cell]
N (0.000, 0.273, 0.638) [2 per cell]
O (0.500, 0.113, 0.291) [2 per cell]

Values from the calculation:
Its relative energy among the computed polymorphs is 0.188 eV/atom. For the size of the total moment, the calculation gives 0.0 μB/cell. As for the crystal system: orthorhombic.

[3]
Mo2As | PBE-GGA | optimized geometry

a = 5.6968 Å, b = 5.6968 Å, c = 5.9369 Å
α = 90.00°, β = 90.00°, γ = 120.00°
Space group P-31m (No. 162)
Unique sites:
Mo (0.0000, 0.3982, 0.1786) [6 per cell]
As (0.0000, 0.0000, 0.0000) [1 per cell]
As (0.3333, 0.6667, 0.5000) [2 per cell]

Values from the calculation:
Its relative energy among the computed polymorphs is 0.000 eV/atom. For the size of the total moment, the calculation gives 0.0 μB/cell. As for the crystal system: trigonal.